VASP calculation (GGA-PBE) on a relaxed structure of Nd5Tm2In.

Cell: 6.9365 6.9365 6.9365 Å, 113.15 113.15 102.33°
Last column: nearest neighbours and their distance in Å.
Positions (direct):
Nd 0.0000 0.0000 0.0000  8 Nd 3.40-3.62, 1 In 3.64
Nd 0.0770 0.0770 0.5447  4 Nd 3.40-3.62, 2 In 3.44-3.53, 4 Tm 3.48
Nd 0.0770 0.5322 0.0000  4 Nd 3.40-3.62, 2 In 3.44-3.53, 4 Tm 3.48
Nd 0.5322 0.0770 0.0000  4 Nd 3.40-3.62, 2 In 3.44-3.53, 4 Tm 3.48
Nd 0.5322 0.5322 0.4553  4 Nd 3.40-3.62, 2 In 3.44-3.53, 4 Tm 3.48
Tm 0.0543 0.5543 0.5000  10 Nd 3.48-3.85, 2 In 3.83
Tm 0.5543 0.0543 0.5000  10 Nd 3.48-3.85, 2 In 3.83
In 0.5816 0.5816 0.0000  9 Nd 3.44-3.64, 4 Tm 3.83

Properties
- ΔE_f: -0.0638 eV per atom
- Excess energy over the best structure of this formula in the dataset: 0.000 eV per atom
- DFT total energy: -4.504 eV/atom
- Magnetization: 0.000 μB/f.u.
- Density: 7.67 g/cm³